# SrYTm

Crystalline SrYTm at its relaxed geometry (PBE, the Open Quantum Materials Database).

Structure (CIF):
```
data_SrYTm
_chemical_formula_sum 'Sr4 Y4 Tm4'
_cell_length_a 8.0919
_cell_length_b 8.0919
_cell_length_c 8.0919
_cell_angle_alpha 90.00
_cell_angle_beta 90.00
_cell_angle_gamma 90.00
_symmetry_space_group_name_H-M 'F -4 3 m'
_symmetry_Int_Tables_number 216
_symmetry_space_group_name_Hall 'F -4 2 3'
loop_
_atom_site_label
_atom_site_type_symbol
_atom_site_fract_x
_atom_site_fract_y
_atom_site_fract_z
Sr1 Sr 0.0000 0.0000 0.0000
Y1 Y 0.0000 0.0000 0.5000
Tm1 Tm 0.2500 0.2500 0.2500
```

Computed properties:
ΔE to the lowest computed polymorph in meV/atom: 0
Total magnetic moment in μB per formula unit: 0.0